Entry 1:
An optimized crystal structure of Cs2GaPdBr6, computed with PBE.

Computed properties:
* crystal system: tetragonal
* E_tot: -3.02 eV/atom
* total magnetization: 0.00 μB/f.u.

a = 7.6403 Å, b = 7.6403 Å, c = 10.9244 Å
α = 90.00°, β = 90.00°, γ = 90.00°
Last column: nearest neighbours and their distance in Å.
Space group I4/mmm (No. 139)
Unique sites:
Cs (0.0000, 0.5000, 0.2500)  12 Br 3.82-3.84
Ga (0.0000, 0.0000, 0.0000)  6 Br 2.65-2.90
Pd (0.0000, 0.0000, 0.5000)  6 Br 2.57-2.75
Br (0.0000, 0.0000, 0.2651)  1 Pd 2.57
Br (0.2453, 0.2453, 0.0000)  1 Ga 2.65, 1 Pd 2.75

Entry 2:
An optimized crystal structure of Cs2PrGaBr6, computed with PBE.

Computed properties:
* crystal system: cubic
* E_tot: -3.56 eV/atom
* total magnetization: 0.00 μB/f.u.

a = 11.9203 Å, b = 11.9203 Å, c = 11.9203 Å
α = 90.00°, β = 90.00°, γ = 90.00°
Last column: nearest neighbours and their distance in Å.
Space group Fm-3m (No. 225)
Unique sites:
Cs (0.2500, 0.2500, 0.2500)  12 Br 4.22
Pr (0.0000, 0.0000, 0.0000)  6 Br 2.91
Ga (0.0000, 0.0000, 0.5000)  6 Br 3.05
Br (0.0000, 0.0000, 0.2441)  1 Pr 2.91, 1 Ga 3.05

Entry 3:
An optimized crystal structure of Cs2PuGaBr6, computed with PBE.

Computed properties:
* crystal system: monoclinic
* E_tot: -4.38 eV/atom
* total magnetization: 5.00 μB/f.u.

a = 11.7935 Å, b = 11.7942 Å, c = 8.3388 Å
α = 90.00°, β = 134.99°, γ = 90.00°
Last column: nearest neighbours and their distance in Å.
Space group Cm (No. 8)
Unique sites:
Cs (0.0000, 0.2501, 0.0000)  12 Br 4.16-4.18
Pu (0.0010, 0.0000, 0.5004)  6 Br 2.87
Ga (0.0009, 0.5000, 0.5003)  6 Br 3.03
Br (0.0011, 0.2430, 0.5004)  1 Pu 2.87, 1 Ga 3.03
Br (0.2437, 0.0000, 0.4996)  1 Pu 2.87, 1 Ga 3.03
Br (0.2447, 0.0000, 0.9865)  1 Pu 2.87, 1 Ga 3.03
Br (0.2577, 0.5000, 0.0143)  1 Pu 2.87, 1 Ga 3.03
Br (0.2585, 0.5000, 0.5014)  1 Pu 2.87, 1 Ga 3.03